A relaxed ReWN2O crystal, computed with PBE+U.

Results
- Electronic total energy: -7.42 eV per atom

```
ReWN2O
1.0
4.049 0.000 0.000
0.000 4.049 0.000
0.000 0.000 3.850
Re W N O
1 1 2 1
Cartesian
0.000 0.000 0.000
2.025 2.025 1.925
0.000 2.025 1.925
2.025 0.000 1.925
2.025 2.025 0.000
```